# LiNbVO4 (PBE with a Hubbard U, relaxed)
# Uncorrected energy   -7.85 eV/atom
# Relative energy among the computed polymorphs   17 meV per atom
data_LiNbVO4
_chemical_formula_sum 'Li4 Nb4 V4 O16'
_cell_length_a 6.056
_cell_length_b 6.138
_cell_length_c 8.795
_cell_angle_alpha 90.00
_cell_angle_beta 90.00
_cell_angle_gamma 90.00
_symmetry_space_group_name_H-M 'I m m a'
_symmetry_Int_Tables_number 74
_symmetry_space_group_name_Hall '-I 2b 2'
loop_
_atom_site_label
_atom_site_type_symbol
_atom_site_fract_x
_atom_site_fract_y
_atom_site_fract_z
Li1 Li 0.000 0.250 0.122
Nb1 Nb 0.250 0.250 0.750
V1 V 0.000 0.000 0.500
O1 O 0.000 0.014 0.739
O2 O 0.235 0.250 0.521